1.
Computed, not measured: a geometry-optimized SrIrAu2 structure at the PBE level of DFT.

Properties
For the energy above the most stable polymorph in this dataset, the calculation gives 246.5 meV per atom. As for the formation energy: 0.05 eV/atom.

Unit cell a=4.5177 b=4.5177 c=8.0974 alpha=90.00 beta=90.00 gamma=90.00
Space group I4/mmm (No. 139)
Asymmetric unit:
Sr: 0.0000 0.0000 0.0000 (multiplicity 2)
Ir: 0.0000 0.0000 0.5000 (multiplicity 2)
Au: 0.0000 0.5000 0.2500 (multiplicity 4)

=====

2.
Computed, not measured: a geometry-optimized MgCuN3 structure at the PBE level of DFT.

Unit cell a=3.8754 b=3.8754 c=3.8754 alpha=90.00 beta=90.00 gamma=90.00
Space group Pm-3m (No. 221)
Asymmetric unit:
Mg: 0.0000 0.0000 0.0000 (multiplicity 1)
Cu: 0.5000 0.5000 0.5000 (multiplicity 1)
N: 0.0000 0.0000 0.5000 (multiplicity 3)

=====

3.
Computed, not measured: a geometry-optimized La2TaIrAu structure at the PBE level of DFT.

Properties
As for the formation energy: 0.08 eV/atom.

Unit cell a=5.6655 b=5.6655 c=4.8240 alpha=90.00 beta=90.00 gamma=90.00
Space group P4/mmm (No. 123)
Asymmetric unit:
La: 0.0000 0.5000 0.0000 (multiplicity 2)
Ta: 0.0000 0.0000 0.5000 (multiplicity 1)
Ir: 0.0000 0.0000 0.0000 (multiplicity 1)
Au: 0.5000 0.5000 0.5000 (multiplicity 1)

=====

4.
Computed, not measured: a geometry-optimized Cs2ZnNF6 structure at the PBE level of DFT.

Unit cell a=5.8057 b=5.8057 c=10.4093 alpha=90.00 beta=90.00 gamma=90.00
Space group I4/mmm (No. 139)
Asymmetric unit:
Cs: 0.0000 0.5000 0.2500 (multiplicity 4)
Zn: 0.0000 0.0000 0.0000 (multiplicity 2)
N: 0.0000 0.0000 0.5000 (multiplicity 2)
F: 0.0000 0.0000 0.1796 (multiplicity 4)
F: 0.2220 0.2220 0.5000 (multiplicity 8)

=====

5.
Computed, not measured: a geometry-optimized Er6Hg2Ru structure at the PBE level of DFT.

Properties
As for the formation energy: -0.28 eV/atom.

Unit cell a=6.7911 b=7.3885 c=12.0313 alpha=90.00 beta=123.25 gamma=90.00
Space group P2_1/c (No. 14)
Asymmetric unit:
Er: 0.1351 0.0141 0.2471 (multiplicity 4)
Er: 0.2234 0.6882 0.0511 (multiplicity 4)
Er: 0.3653 0.1880 0.0516 (multiplicity 4)
Hg: 0.2959 0.0975 0.7531 (multiplicity 4)
Ru: 0.5000 0.0000 0.5000 (multiplicity 2)

=====

6.
Computed, not measured: a geometry-optimized Ba8IrPd2 structure at the PBE level of DFT.

Properties
For the energy above the most stable polymorph in this dataset, the calculation gives 45.0 meV per atom. As for the formation energy: -0.20 eV/atom.

Unit cell a=16.7304 b=8.6941 c=7.8052 alpha=90.00 beta=110.11 gamma=90.00
Space group C2/m (No. 12)
Asymmetric unit:
Ba: 0.1063 0.0000 0.4075 (multiplicity 4)
Ba: 0.1218 0.2404 0.9309 (multiplicity 8)
Ba: 0.1315 0.5000 0.4343 (multiplicity 4)
Ir: 0.0000 0.0000 0.0000 (multiplicity 2)
Pd: 0.2490 0.5000 0.2005 (multiplicity 4)

=====

7.
Computed, not measured: a geometry-optimized Pm2Pr2HoTm structure at the PBE level of DFT.

Properties
As for the formation energy: 0.06 eV/atom.

Unit cell a=7.0903 b=5.7154 c=9.9038 alpha=90.00 beta=90.00 gamma=90.00
Space group Pmma (No. 51)
Asymmetric unit:
Pm: 0.2500 0.0000 0.1641 (multiplicity 2)
Pm: 0.2500 0.5000 0.6673 (multiplicity 2)
Pr: 0.0000 0.5000 0.0000 (multiplicity 2)
Pr: 0.2500 0.0000 0.8215 (multiplicity 2)
Ho: 0.2500 0.5000 0.3419 (multiplicity 2)
Tm: 0.0000 0.0000 0.5000 (multiplicity 2)

=====

8.
Computed, not measured: a geometry-optimized Er2GaPt structure at the PBE level of DFT.

Properties
As for the formation energy: -0.93 eV/atom.

Unit cell a=3.5275 b=3.5275 c=6.9281 alpha=90.00 beta=90.00 gamma=90.00
Space group P4/mmm (No. 123)
Asymmetric unit:
Er: 0.0000 0.0000 0.2397 (multiplicity 2)
Ga: 0.5000 0.5000 0.5000 (multiplicity 1)
Pt: 0.5000 0.5000 0.0000 (multiplicity 1)

=====

9.
Computed, not measured: a geometry-optimized TmIn4CuS8 structure at the PBE level of DFT.

Unit cell a=7.7147 b=7.7147 c=18.7171 alpha=90.00 beta=90.00 gamma=120.00
Space group R3m (No. 160, hexagonal axes)
Asymmetric unit:
Tm: 0.0000 0.0000 0.0000 (multiplicity 3)
In: 0.0000 0.0000 0.6147 (multiplicity 3)
In: 0.1749 0.3498 0.8225 (multiplicity 9)
Cu: 0.0000 0.0000 0.3667 (multiplicity 3)
S: 0.0000 0.0000 0.2393 (multiplicity 3)
S: 0.0000 0.0000 0.7509 (multiplicity 3)
S: 0.1670 0.3339 0.0766 (multiplicity 9)
S: 0.1777 0.3554 0.5715 (multiplicity 9)

=====

10.
Computed, not measured: a geometry-optimized Cr3WCl structure at the PBE level of DFT.

Properties
For the energy above the most stable polymorph in this dataset, the calculation gives 0.0 meV per atom.

Unit cell a=4.0988 b=4.0988 c=4.0988 alpha=90.00 beta=90.00 gamma=90.00
Space group Pm-3m (No. 221)
Asymmetric unit:
Cr: 0.0000 0.0000 0.5000 (multiplicity 3)
W: 0.5000 0.5000 0.5000 (multiplicity 1)
Cl: 0.0000 0.0000 0.0000 (multiplicity 1)

=====

11.
Computed, not measured: a geometry-optimized Sc4GaHg2 structure at the PBE level of DFT.

Properties
For the energy above the most stable polymorph in this dataset, the calculation gives 260.9 meV per atom. As for the formation energy: -0.04 eV/atom.

Unit cell a=5.0500 b=5.0500 c=14.1869 alpha=90.00 beta=90.00 gamma=90.00
Space group I4/mmm (No. 139)
Asymmetric unit:
Sc: 0.0000 0.0000 0.1860 (multiplicity 4)
Sc: 0.0000 0.5000 0.0000 (multiplicity 4)
Ga: 0.0000 0.0000 0.0000 (multiplicity 2)
Hg: 0.0000 0.0000 0.3834 (multiplicity 4)

=====

12.
Computed, not measured: a geometry-optimized SrPSeCl2 structure at the PBE level of DFT.

Properties
For the energy above the most stable polymorph in this dataset, the calculation gives 332.4 meV per atom.

Unit cell a=5.3798 b=5.3798 c=7.2362 alpha=90.00 beta=90.00 gamma=90.00
Space group P4/mmm (No. 123)
Asymmetric unit:
Sr: 0.0000 0.0000 0.0000 (multiplicity 1)
P: 0.0000 0.0000 0.5000 (multiplicity 1)
Se: 0.5000 0.5000 0.5000 (multiplicity 1)
Cl: 0.0000 0.5000 0.0000 (multiplicity 2)

=====

13.
Computed, not measured: a geometry-optimized ThSn2Pd7 structure at the PBE level of DFT.

Properties
For the energy above the most stable polymorph in this dataset, the calculation gives 0.0 meV per atom. As for the formation energy: -0.62 eV/atom.

Unit cell a=4.1807 b=4.1807 c=22.2587 alpha=90.00 beta=90.00 gamma=90.00
Space group I4/mmm (No. 139)
Asymmetric unit:
Th: 0.0000 0.0000 0.0000 (multiplicity 2)
Sn: 0.0000 0.0000 0.3269 (multiplicity 4)
Pd: 0.0000 0.0000 0.5000 (multiplicity 2)
Pd: 0.0000 0.5000 0.0944 (multiplicity 8)
Pd: 0.0000 0.5000 0.2500 (multiplicity 4)

=====

14.
Computed, not measured: a geometry-optimized TbSm2Cd2 structure at the PBE level of DFT.

Properties
For the energy above the most stable polymorph in this dataset, the calculation gives 0.0 meV per atom. As for the formation energy: -0.25 eV/atom.

Unit cell a=3.7613 b=5.4024 c=14.1377 alpha=90.00 beta=97.65 gamma=90.00
Space group P2_1/m (No. 11)
Asymmetric unit:
Tb: 0.1495 0.2500 0.2980 (multiplicity 2)
Sm: 0.0448 0.7500 0.0883 (multiplicity 2)
Sm: 0.2343 0.7500 0.4702 (multiplicity 2)
Cd: 0.3607 0.2500 0.7213 (multiplicity 2)
Cd: 0.4449 0.7500 0.8902 (multiplicity 2)

=====

15.
Computed, not measured: a geometry-optimized Y2GeIr structure at the PBE level of DFT.

Properties
As for the formation energy: -0.86 eV/atom.

Unit cell a=5.8029 b=4.1589 c=8.0332 alpha=90.00 beta=110.58 gamma=90.00
Space group P2_1/m (No. 11)
Asymmetric unit:
Y: 0.1858 0.2500 0.4114 (multiplicity 2)
Y: 0.2704 0.7500 0.0579 (multiplicity 2)
Ge: 0.3738 0.7500 0.7075 (multiplicity 2)
Ir: 0.1424 0.2500 0.7858 (multiplicity 2)

=====

16.
Computed, not measured: a geometry-optimized GaPd6Au structure at the PBE level of DFT.

Properties
For the energy above the most stable polymorph in this dataset, the calculation gives 102.2 meV per atom. As for the formation energy: -0.15 eV/atom.

Unit cell a=5.0642 b=5.0773 c=5.0781 alpha=94.30 beta=94.16 gamma=94.25
Space group P-1 (No. 2)
Asymmetric unit:
Ga: 0.0000 0.0000 0.0000 (multiplicity 1)
Pd: 0.0352 0.5625 0.7576 (multiplicity 2)
Pd: 0.2424 0.9642 0.4373 (multiplicity 2)
Pd: 0.4380 0.2424 0.9632 (multiplicity 2)
Au: 0.5000 0.5000 0.5000 (multiplicity 1)

=====

17.
Computed, not measured: a geometry-optimized Ac6Ru2N structure at the PBE level of DFT.

Unit cell a=18.2154 b=4.2118 c=8.4161 alpha=90.00 beta=103.17 gamma=90.00
Space group C2/m (No. 12)
Asymmetric unit:
Ac: 0.0025 0.0000 0.2309 (multiplicity 4)
Ac: 0.1464 0.5000 0.0756 (multiplicity 4)
Ac: 0.1712 0.5000 0.5754 (multiplicity 4)
Ru: 0.1560 0.0000 0.3199 (multiplicity 4)
N: 0.0000 0.5000 0.0000 (multiplicity 2)

=====

18.
Computed, not measured: a geometry-optimized Zr4TaN4 structure at the PBE level of DFT.

Unit cell a=10.0850 b=4.6652 c=7.1284 alpha=90.00 beta=134.96 gamma=90.00
Space group C2/m (No. 12)
Asymmetric unit:
Zr: 0.0996 0.0000 0.4020 (multiplicity 4)
Zr: 0.1976 0.5000 0.7974 (multiplicity 4)
Ta: 0.0000 0.5000 0.0000 (multiplicity 2)
N: 0.0976 0.5000 0.3916 (multiplicity 4)
N: 0.2060 0.0000 0.8035 (multiplicity 4)

=====

19.
Computed, not measured: a geometry-optimized SrIn3Fe structure at the PBE level of DFT.

Properties
As for the formation energy: 1.41 eV/atom.

Unit cell a=6.1059 b=6.1059 c=6.1059 alpha=90.00 beta=90.00 gamma=90.00
Space group Pm-3m (No. 221)
Asymmetric unit:
Sr: 0.0000 0.0000 0.0000 (multiplicity 1)
In: 0.0000 0.0000 0.5000 (multiplicity 3)
Fe: 0.5000 0.5000 0.5000 (multiplicity 1)

=====

20.
Computed, not measured: a geometry-optimized Sm2ErThBi5 structure at the PBE level of DFT.

Properties
As for the formation energy: 0.12 eV/atom.

Unit cell a=5.7426 b=5.7426 c=11.8664 alpha=90.00 beta=90.00 gamma=90.00
Space group P4/mmm (No. 123)
Asymmetric unit:
Sm: 0.0000 0.0000 0.2233 (multiplicity 2)
Er: 0.5000 0.5000 0.5000 (multiplicity 1)
Th: 0.5000 0.5000 0.0000 (multiplicity 1)
Bi: 0.0000 0.0000 0.5000 (multiplicity 1)
Bi: 0.0000 0.5000 0.0000 (multiplicity 2)
Bi: 0.5000 0.5000 0.2586 (multiplicity 2)

=====

21.
Computed, not measured: a geometry-optimized Tb3CeAs4 structure at the PBE level of DFT.

Properties
For the energy above the most stable polymorph in this dataset, the calculation gives 6.3 meV per atom. As for the formation energy: -1.51 eV/atom.

Unit cell a=5.8830 b=5.8830 c=5.8830 alpha=90.00 beta=90.00 gamma=90.00
Space group Pm-3m (No. 221)
Asymmetric unit:
Tb: 0.0000 0.0000 0.5000 (multiplicity 3)
Ce: 0.5000 0.5000 0.5000 (multiplicity 1)
As: 0.0000 0.0000 0.0000 (multiplicity 1)
As: 0.0000 0.5000 0.5000 (multiplicity 3)

=====

22.
Computed, not measured: a geometry-optimized Er4Hg3Os structure at the PBE level of DFT.

Properties
As for the formation energy: -0.44 eV/atom.

Unit cell a=3.5165 b=3.5165 c=15.2569 alpha=90.00 beta=90.00 gamma=90.00
Space group P4/mmm (No. 123)
Asymmetric unit:
Er: 0.0000 0.0000 0.1053 (multiplicity 2)
Er: 0.0000 0.0000 0.3707 (multiplicity 2)
Hg: 0.5000 0.5000 0.2442 (multiplicity 2)
Hg: 0.5000 0.5000 0.5000 (multiplicity 1)
Os: 0.5000 0.5000 0.0000 (multiplicity 1)

=====

23.
Computed, not measured: a geometry-optimized Os5Ru3 structure at the PBE level of DFT.

Properties
For the energy above the most stable polymorph in this dataset, the calculation gives 594.9 meV per atom. As for the formation energy: 0.59 eV/atom.

Unit cell a=7.6387 b=7.6387 c=4.7556 alpha=90.00 beta=90.00 gamma=120.00
Space group P6_3/mcm (No. 193)
Asymmetric unit:
Os: 0.0000 0.1997 0.2500 (multiplicity 6)
Os: 0.3333 0.6667 0.0000 (multiplicity 4)
Ru: 0.0000 0.4039 0.7500 (multiplicity 6)

=====

24.
Computed, not measured: a geometry-optimized Pm5Ho7 structure at the PBE level of DFT.

Properties
For the energy above the most stable polymorph in this dataset, the calculation gives 180.7 meV per atom. As for the formation energy: 0.18 eV/atom.

Unit cell a=9.6373 b=5.7283 c=14.7425 alpha=90.00 beta=103.55 gamma=90.00
Space group C2/m (No. 12)
Asymmetric unit:
Pm: 0.0000 0.0000 0.0000 (multiplicity 2)
Pm: 0.1156 0.5000 0.7995 (multiplicity 4)
Pm: 0.1395 0.0000 0.4360 (multiplicity 4)
Ho: 0.0000 0.5000 0.5000 (multiplicity 2)
Ho: 0.0516 0.0000 0.2140 (multiplicity 4)
Ho: 0.1858 0.5000 0.0819 (multiplicity 4)
Ho: 0.2373 0.0000 0.6723 (multiplicity 4)

=====

Table of VASP energy (eV per cell), in record order: -33.8; -20.1; -33.4; -77.3; -79.6; -73.6; -55.5; -21.9; -190.3; -38.5; -58.5; -15.1; -115.9; -34.3; -59.7; -38.7; -109.1; -184.9; -11.3; -39.7; -50.5; -33.9; -158.4; -107.2